(1)
{"formula": "La2Sm2Th", "functional": "PBE", "state": "relaxed", "space_group": "Cmmm", "e_above_lowest_polymorph_ev_per_atom": 0.059, "lattice_angstrom": [[-0.536, -3.461, 0.744], [-1.006, -0.964, -5.208], [9.169, -1.155, 1.236]], "species": ["Sm", "La", "Th", "Sm", "La"], "fractional_positions": [[0.500, 0.597, 0.194], [0.000, 0.194, 0.389], [0.000, 0.000, 0.000], [0.500, 0.403, 0.806], [0.000, 0.806, 0.611]]}

---

(2)
{"formula": "Ni2MoPb", "functional": "PBE", "state": "relaxed", "space_group": "P2/m", "lattice_angstrom": [[-0.766, 2.612, 2.221], [0.087, -1.953, 2.327], [5.844, -0.854, 3.020]], "species": ["Ni", "Mo", "Ni", "Pb"], "fractional_positions": [[0.000, 0.457, 0.543], [0.500, 0.750, 0.750], [0.000, 0.043, 0.957], [0.500, 0.250, 0.250]]}

---

(3)
{"formula": "TbPmRu", "functional": "PBE", "state": "relaxed", "space_group": "C2/m", "e_above_lowest_polymorph_ev_per_atom": 0.004, "lattice_angstrom": [[-2.697, 0.984, 1.915], [2.293, -3.853, 5.205], [4.298, 5.672, 0.018]], "species": ["Pm", "Tb", "Pm", "Tb", "Ru", "Ru"], "fractional_positions": [[0.566, 0.617, 0.899], [0.563, 0.113, 0.892], [0.312, 0.487, 0.390], [0.315, 0.991, 0.397], [0.940, 0.298, 0.646], [0.938, 0.806, 0.643]]}

---

We obtain energy relative to the elements values of 7 29 -24 kJ/mol of atoms for the records listed above, in that order.